(1)
Density functional theory data (PBE) for a geometry-optimized Er2PdPt4 structure.

a b c (Å): 7.135 6.187 5.261
angles (deg): 76.64 57.52 45.84
Fractional positions:
Er: 0.145 0.145 0.855
Er: 0.855 0.855 0.145
Pd: 0.500 0.500 0.500
Pt: 0.000 0.000 0.500
Pt: 0.250 0.250 0.250
Pt: 0.500 0.500 0.000
Pt: 0.750 0.750 0.750

Calculated values
**Energy relative to the elements**: -0.764 eV per atom
**Raw total energy**: -43.83 eV per formula unit
**Energy relative to the lowest polymorph listed for this composition**: 0.42 eV per formula unit

(2)
Density functional theory data (PBE) for a geometry-optimized Er6PdPt5 structure.

a b c (Å): 8.500 8.500 8.500
angles (deg): 146.42 132.15 59.72
Fractional positions:
Er: 0.081 0.333 0.748
Er: 0.247 0.000 0.247
Er: 0.416 0.667 0.748
Er: 0.584 0.333 0.252
Er: 0.753 0.000 0.753
Er: 0.919 0.667 0.252
Pd: 0.500 0.500 0.000
Pt: 0.000 0.500 0.500
Pt: 0.169 0.169 0.000
Pt: 0.338 0.838 0.500
Pt: 0.662 0.162 0.500
Pt: 0.831 0.831 0.000

Calculated values
**Energy relative to the elements**: -1.216 eV per atom
**Raw total energy**: -77.37 eV per formula unit

(3)
Density functional theory data (PBE) for a geometry-optimized Er2Pd3Pt2 structure.

a b c (Å): 10.361 10.361 3.495
angles (deg): 90.00 90.00 159.16
Fractional positions:
Er: 0.142 0.858 0.000
Er: 0.858 0.142 0.000
Pd: 0.000 0.000 0.000
Pd: 0.434 0.566 0.500
Pd: 0.566 0.434 0.500
Pt: 0.296 0.704 0.500
Pt: 0.704 0.296 0.500

Calculated values
**Energy relative to the elements**: -0.803 eV per atom
**Raw total energy**: -42.41 eV per formula unit

(4)
Density functional theory data (PBE) for a geometry-optimized Er8Pd2Pt structure.

a b c (Å): 9.036 9.036 6.658
angles (deg): 104.09 104.09 32.31
Fractional positions:
Er: 0.033 0.033 0.284
Er: 0.206 0.206 0.827
Er: 0.334 0.334 0.521
Er: 0.410 0.410 0.054
Er: 0.590 0.590 0.946
Er: 0.666 0.666 0.479
Er: 0.794 0.794 0.173
Er: 0.967 0.967 0.716
Pd: 0.188 0.188 0.231
Pd: 0.812 0.812 0.769
Pt: 0.500 0.500 0.500

Calculated values
**Energy relative to the elements**: -0.577 eV per atom
**Raw total energy**: -59.28 eV per formula unit
**Energy relative to the lowest polymorph listed for this composition**: 0.00 eV per formula unit

(5)
Density functional theory data (PBE) for a geometry-optimized Er4Pd5Pt structure.

a b c (Å): 7.777 7.777 5.797
angles (deg): 106.32 106.32 36.12
Fractional positions:
Er: 0.086 0.086 0.328
Er: 0.310 0.310 0.207
Er: 0.690 0.690 0.793
Er: 0.914 0.914 0.672
Pd: 0.112 0.112 0.864
Pd: 0.288 0.288 0.687
Pd: 0.500 0.500 0.000
Pd: 0.712 0.712 0.313
Pd: 0.888 0.888 0.136
Pt: 0.500 0.500 0.500

Calculated values
**Energy relative to the elements**: -0.957 eV per atom
**Raw total energy**: -59.82 eV per formula unit

(6)
Density functional theory data (PBE) for a geometry-optimized ErPd5Pt2 structure.

a b c (Å): 7.417 7.417 7.417
angles (deg): 123.47 123.47 84.08
Fractional positions:
Er: 0.250 0.250 0.000
Er: 0.750 0.750 0.000
Pd: 0.000 0.000 0.000
Pd: 0.016 0.516 0.204
Pd: 0.188 0.984 0.500
Pd: 0.312 0.812 0.796
Pd: 0.484 0.688 0.500
Pd: 0.500 0.500 0.000
Pd: 0.516 0.312 0.500
Pd: 0.688 0.188 0.204
Pd: 0.812 0.016 0.500
Pd: 0.984 0.484 0.796
Pt: 0.145 0.355 0.500
Pt: 0.355 0.855 0.211
Pt: 0.645 0.145 0.789
Pt: 0.855 0.645 0.500

Calculated values
**Energy relative to the elements**: -0.290 eV per atom
**Raw total energy**: -44.93 eV per formula unit
**Energy relative to the lowest polymorph listed for this composition**: 1.46 eV per formula unit

(7)
Density functional theory data (PBE) for a geometry-optimized Er2Pd6Pt structure.

a b c (Å): 8.643 6.711 6.205
angles (deg): 83.91 50.54 45.55
Fractional positions:
Er: 0.148 0.148 0.852
Er: 0.852 0.852 0.148
Pd: 0.164 0.497 0.503
Pd: 0.175 0.825 0.175
Pd: 0.497 0.164 0.836
Pd: 0.503 0.836 0.164
Pd: 0.825 0.175 0.825
Pd: 0.836 0.503 0.497
Pt: 0.500 0.500 0.500

Calculated values
**Energy relative to the elements**: -0.703 eV per atom
**Raw total energy**: -52.65 eV per formula unit

(8)
Density functional theory data (PBE) for a geometry-optimized ErPd23Pt6 structure.

a b c (Å): 8.844 8.844 8.844
angles (deg): 60.00 60.00 60.00
Fractional positions:
Er: 0.000 0.000 0.000
Pd: 0.000 0.000 0.500
Pd: 0.000 0.500 0.000
Pd: 0.000 0.500 0.500
Pd: 0.121 0.626 0.626
Pd: 0.134 0.134 0.134
Pd: 0.134 0.134 0.597
Pd: 0.134 0.597 0.134
Pd: 0.374 0.374 0.374
Pd: 0.374 0.374 0.879
Pd: 0.374 0.879 0.374
Pd: 0.403 0.866 0.866
Pd: 0.500 0.000 0.000
Pd: 0.500 0.000 0.500
Pd: 0.500 0.500 0.000
Pd: 0.500 0.500 0.500
Pd: 0.597 0.134 0.134
Pd: 0.626 0.121 0.626
Pd: 0.626 0.626 0.121
Pd: 0.626 0.626 0.626
Pd: 0.866 0.403 0.866
Pd: 0.866 0.866 0.403
Pd: 0.866 0.866 0.866
Pd: 0.879 0.374 0.374
Pt: 0.246 0.246 0.754
Pt: 0.246 0.754 0.246
Pt: 0.246 0.754 0.754
Pt: 0.754 0.246 0.246
Pt: 0.754 0.246 0.754
Pt: 0.754 0.754 0.246

Calculated values
**Energy relative to the elements**: -0.043 eV per atom
**Raw total energy**: -161.53 eV per formula unit

(9)
Density functional theory data (PBE) for a geometry-optimized ErPd4Pt structure.

a b c (Å): 5.275 5.275 5.275
angles (deg): 60.00 60.00 60.00
Fractional positions:
Er: 0.000 0.000 0.000
Pd: 0.127 0.624 0.624
Pd: 0.624 0.127 0.624
Pd: 0.624 0.624 0.127
Pd: 0.624 0.624 0.624
Pt: 0.250 0.250 0.250

Calculated values
**Energy relative to the elements**: -0.490 eV per atom
**Raw total energy**: -34.31 eV per formula unit
**Energy relative to the lowest polymorph listed for this composition**: 0.78 eV per formula unit

(10)
Density functional theory data (PBE) for a geometry-optimized Er7Pd2Pt2 structure.

a b c (Å): 9.162 9.162 9.162
angles (deg): 156.12 67.63 117.79
Fractional positions:
Er: 0.000 0.000 0.000
Er: 0.097 0.404 0.692
Er: 0.140 0.764 0.376
Er: 0.387 0.764 0.624
Er: 0.499 0.614 0.885
Er: 0.712 0.404 0.308
Er: 0.729 0.614 0.115
Pd: 0.371 0.371 0.000
Pd: 0.778 0.278 0.500
Pt: 0.353 0.113 0.239
Pt: 0.874 0.113 0.761

Calculated values
**Energy relative to the elements**: -0.840 eV per atom
**Raw total energy**: -63.64 eV per formula unit
**Energy relative to the lowest polymorph listed for this composition**: 0.00 eV per formula unit

(11)
Density functional theory data (PBE) for a geometry-optimized ErPd12Pt7 structure.

a b c (Å): 6.996 6.996 6.996
angles (deg): 100.72 100.72 100.72
Fractional positions:
Er: 0.000 0.000 0.000
Pd: 0.000 0.263 0.737
Pd: 0.000 0.737 0.263
Pd: 0.171 0.604 0.604
Pd: 0.263 0.000 0.737
Pd: 0.263 0.737 0.000
Pd: 0.396 0.396 0.829
Pd: 0.396 0.829 0.396
Pd: 0.604 0.171 0.604
Pd: 0.604 0.604 0.171
Pd: 0.737 0.000 0.263
Pd: 0.737 0.263 0.000
Pd: 0.829 0.396 0.396
Pt: 0.168 0.169 0.423
Pt: 0.169 0.423 0.168
Pt: 0.423 0.168 0.169
Pt: 0.500 0.500 0.500
Pt: 0.577 0.832 0.831
Pt: 0.831 0.577 0.832
Pt: 0.832 0.831 0.577

Calculated values
**Energy relative to the elements**: -0.103 eV per atom
**Raw total energy**: -111.23 eV per formula unit

(12)
Density functional theory data (PBE) for a geometry-optimized ErPd6Pt4 structure.

a b c (Å): 4.563 7.911 7.911
angles (deg): 40.98 90.00 90.00
Fractional positions:
Er: 0.000 0.000 0.000
Pd: 0.000 0.049 0.543
Pd: 0.000 0.461 0.461
Pd: 0.000 0.543 0.049
Pd: 0.500 0.335 0.836
Pd: 0.500 0.744 0.744
Pd: 0.500 0.836 0.335
Pt: 0.000 0.638 0.638
Pt: 0.500 0.156 0.654
Pt: 0.500 0.244 0.244
Pt: 0.500 0.654 0.156

Calculated values
**Energy relative to the elements**: -0.242 eV per atom
**Raw total energy**: -62.54 eV per formula unit

(13)
Density functional theory data (PBE) for a geometry-optimized Er2Pd3Pt3 structure.

a b c (Å): 4.079 4.094 8.252
angles (deg): 90.00 90.00 90.00
Fractional positions:
Er: 0.000 0.000 0.250
Er: 0.000 0.000 0.750
Pd: 0.500 0.000 0.000
Pd: 0.500 0.500 0.249
Pd: 0.500 0.500 0.751
Pt: 0.000 0.500 0.000
Pt: 0.000 0.500 0.500
Pt: 0.500 0.000 0.500

Calculated values
**Energy relative to the elements**: -0.988 eV per atom
**Raw total energy**: -50.73 eV per formula unit

(14)
Density functional theory data (PBE) for a geometry-optimized Er3PdPt2 structure.

a b c (Å): 7.756 7.756 3.462
angles (deg): 90.00 90.00 143.07
Fractional positions:
Er: 0.000 0.000 0.000
Er: 0.331 0.669 0.000
Er: 0.669 0.331 0.000
Pd: 0.500 0.500 0.500
Pt: 0.164 0.836 0.500
Pt: 0.836 0.164 0.500

Calculated values
**Energy relative to the elements**: -1.162 eV per atom
**Raw total energy**: -37.94 eV per formula unit

(15)
Density functional theory data (PBE) for a geometry-optimized Er6Pd8Pt structure.

a b c (Å): 7.390 7.390 7.390
angles (deg): 66.33 66.33 66.33
Fractional positions:
Er: 0.115 0.814 0.372
Er: 0.186 0.628 0.885
Er: 0.372 0.115 0.814
Er: 0.628 0.885 0.186
Er: 0.814 0.372 0.115
Er: 0.885 0.186 0.628
Pd: 0.063 0.436 0.681
Pd: 0.207 0.207 0.207
Pd: 0.319 0.937 0.564
Pd: 0.436 0.681 0.063
Pd: 0.564 0.319 0.937
Pd: 0.681 0.063 0.436
Pd: 0.793 0.793 0.793
Pd: 0.937 0.564 0.319
Pt: 0.500 0.500 0.500

Calculated values
**Energy relative to the elements**: -0.754 eV per atom
**Raw total energy**: -86.27 eV per formula unit

(16)
Density functional theory data (PBE) for a geometry-optimized Er6Pd5Pt structure.

a b c (Å): 7.800 7.800 6.881
angles (deg): 90.00 90.00 143.02
Fractional positions:
Er: 0.000 0.000 0.247
Er: 0.000 0.000 0.753
Er: 0.335 0.665 0.249
Er: 0.335 0.665 0.751
Er: 0.665 0.335 0.249
Er: 0.665 0.335 0.751
Pd: 0.166 0.834 0.500
Pd: 0.171 0.829 0.000
Pd: 0.500 0.500 0.500
Pd: 0.829 0.171 0.000
Pd: 0.834 0.166 0.500
Pt: 0.500 0.500 0.000

Calculated values
**Energy relative to the elements**: -0.986 eV per atom
**Raw total energy**: -71.21 eV per formula unit
**Energy relative to the lowest polymorph listed for this composition**: 0.00 eV per formula unit

(17)
Density functional theory data (PBE) for a geometry-optimized ErPdPt2 structure.

a b c (Å): 4.666 4.666 4.666
angles (deg): 60.00 60.00 60.00
Fractional positions:
Er: 0.000 0.000 0.000
Pd: 0.500 0.500 0.500
Pt: 0.250 0.250 0.250
Pt: 0.750 0.750 0.750

Calculated values
**Energy relative to the elements**: -0.756 eV per atom
**Raw total energy**: -24.86 eV per formula unit

(18)
Density functional theory data (PBE) for a geometry-optimized ErPd2Pt6 structure.

a b c (Å): 7.075 7.075 3.995
angles (deg): 98.02 98.02 126.74
Fractional positions:
Er: 0.000 0.000 0.000
Pd: 0.160 0.840 0.500
Pd: 0.840 0.160 0.500
Pt: 0.181 0.500 0.162
Pt: 0.336 0.336 0.665
Pt: 0.500 0.181 0.162
Pt: 0.500 0.819 0.838
Pt: 0.664 0.664 0.335
Pt: 0.819 0.500 0.838

Calculated values
**Energy relative to the elements**: -0.343 eV per atom
**Raw total energy**: -54.28 eV per formula unit

(19)
Density functional theory data (PBE) for a geometry-optimized ErPd7Pt2 structure.

a b c (Å): 7.377 7.377 4.501
angles (deg): 90.00 90.00 121.20
Fractional positions:
Er: 0.000 0.000 0.000
Pd: 0.071 0.293 0.500
Pd: 0.209 0.791 0.000
Pd: 0.293 0.071 0.500
Pd: 0.500 0.500 0.500
Pd: 0.707 0.929 0.500
Pd: 0.791 0.209 0.000
Pd: 0.929 0.707 0.500
Pt: 0.301 0.699 0.500
Pt: 0.699 0.301 0.500

Calculated values
**Energy relative to the elements**: 0.111 eV per atom
**Raw total energy**: -51.88 eV per formula unit

(20)
Density functional theory data (PBE) for a geometry-optimized Er3Pd2Pt structure.

a b c (Å): 7.785 7.785 6.909
angles (deg): 90.00 90.00 143.09
Fractional positions:
Er: 0.000 0.000 0.249
Er: 0.000 0.000 0.751
Er: 0.332 0.668 0.246
Er: 0.332 0.668 0.754
Er: 0.668 0.332 0.246
Er: 0.668 0.332 0.754
Pd: 0.169 0.831 0.500
Pd: 0.500 0.500 0.000
Pd: 0.500 0.500 0.500
Pd: 0.831 0.169 0.500
Pt: 0.161 0.839 0.000
Pt: 0.839 0.161 0.000

Calculated values
**Energy relative to the elements**: -1.047 eV per atom
**Raw total energy**: -36.40 eV per formula unit

(21)
Density functional theory data (PBE) for a geometry-optimized Er2Pd2Pt structure.

a b c (Å): 4.371 4.371 6.981
angles (deg): 108.27 108.27 60.29
Fractional positions:
Er: 0.092 0.092 0.278
Er: 0.908 0.908 0.722
Pd: 0.356 0.356 0.069
Pd: 0.644 0.644 0.931
Pt: 0.500 0.500 0.500

Calculated values
**Energy relative to the elements**: -0.934 eV per atom
**Raw total energy**: -30.22 eV per formula unit
**Energy relative to the lowest polymorph listed for this composition**: 0.00 eV per formula unit